# 1
VASP calculation (GGA-PBE) on a geometry-optimized KIrI2O structure.

Lattice parameters (Å, degrees): 5.8794 5.8794 3.8057 90.00 90.00 90.00
Sites, in units of the cell vectors:
O 0.0000 0.0000 0.5000
I 0.0000 0.5000 0.0000
I 0.5000 0.0000 0.0000
K 0.5000 0.5000 0.5000
Ir 0.0000 0.0000 0.0000

**ΔE_f (raw)**: -0.57 eV per atom
**Total moment**: 0.00 μB per atom
**Energy above the lowest structure with this stoichiometry**: 0.0000 eV per atom

***

# 2
VASP calculation (GGA-PBE) on a geometry-optimized KIrI2O structure.

Lattice parameters (Å, degrees): 6.2362 6.2362 4.5628 90.00 90.00 90.00
Each line ends with the local moment (μB).
Sites, in units of the cell vectors:
I 0.0000 0.5000 0.0000  0.16
I 0.5000 0.0000 0.0000  0.16
K 0.0000 0.0000 0.0000  0.03
Ir 0.5000 0.5000 0.5000  2.18
O 0.0000 0.0000 0.5000  1.09

**ΔE_f (raw)**: 1.30 eV per atom
**Total moment**: 0.84 μB per atom
**Energy above the lowest structure with this stoichiometry**: 1.8660 eV per atom

***

# 3
VASP calculation (GGA-PBE) on a geometry-optimized KIr2PbI structure.

Lattice parameters (Å, degrees): 4.9832 5.9393 4.9832 90.00 90.00 90.00
Each line ends with the local moment (μB).
Sites, in units of the cell vectors:
Ir 0.5000 0.0000 0.0000  0.82
Ir 0.0000 0.0000 0.5000  0.73
Pb 0.5000 0.5000 0.5000  -0.04
I 0.0000 0.5000 0.0000  0.06
K 0.0000 0.0000 0.0000  0.00

**ΔE_f (raw)**: 2.08 eV per atom
**Total moment**: 0.31 μB per atom

***

# 4
VASP calculation (GGA-PBE) on a geometry-optimized KRb2IrI6 structure.

Lattice parameters (Å, degrees): 8.5497 8.5497 8.5493 60.00 60.00 90.00
Sites, in units of the cell vectors:
I 0.7770 0.7770 0.4460
I 0.2230 0.2230 0.0000
I 0.2230 0.7770 0.0000
I 0.7770 0.7770 0.0000
I 0.7770 0.2230 0.0000
I 0.2230 0.2230 0.5540
Rb 0.7500 0.2500 0.5000
Rb 0.2500 0.7500 0.5000
Ir 0.0000 0.0000 0.0000
K 0.5000 0.5000 0.0000

**ΔE_f (raw)**: -0.85 eV per atom
**Total moment**: 0.00 μB per atom

***

# 5
VASP calculation (GGA-PBE) on a geometry-optimized K2IrRhI structure.

Lattice parameters (Å, degrees): 6.3068 4.9127 6.3068 90.00 90.00 90.00
Each line ends with the local moment (μB).
Sites, in units of the cell vectors:
Rh 0.0000 0.0000 0.0000  0.31
Ir 0.5000 0.5000 0.5000  1.88
K 0.0000 0.0000 0.5000  0.00
K 0.5000 0.0000 0.0000  0.00
I 0.0000 0.5000 0.0000  0.07

**ΔE_f (raw)**: 0.89 eV per atom
**Total moment**: 0.49 μB per atom

***

# 6
VASP calculation (GGA-PBE) on a geometry-optimized KSn2IrI structure.

Lattice parameters (Å, degrees): 5.0599 6.7491 5.0599 90.00 90.00 90.00
Sites, in units of the cell vectors:
Sn 0.5000 0.0000 0.0000
Sn 0.0000 0.0000 0.5000
Ir 0.0000 0.0000 0.0000
I 0.5000 0.5000 0.5000
K 0.0000 0.5000 0.0000

**ΔE_f (raw)**: -0.27 eV per atom
**Total moment**: 0.00 μB per atom